Compound: Li2HfCd2
Source: Alexandria via LeMat-Bulk
Functional: GGA-PBE
Structure: relaxed

a = 3.740 Å, b = 3.740 Å, c = 7.542 Å
α = 75.64°, β = 75.64°, γ = 90.00°
Sites, in units of the cell vectors:
1 Hf 0.000 0.000 0.000
2 Cd 0.394 0.394 0.211
3 Cd 0.606 0.606 0.789
4 Li 0.250 0.750 0.500
5 Li 0.750 0.250 0.500

Values from the calculation:
energy of formation from the pure elements: 0.09 eV/atom
space group: I4/mmm (139)

Compound: Li2HfCd
Source: Alexandria via LeMat-Bulk
Functional: GGA-PBE
Structure: relaxed

a = 2.968 Å, b = 2.968 Å, c = 10.934 Å
α = 82.20°, β = 82.20°, γ = 60.00°
Sites, in units of the cell vectors:
1 Cd 0.500 0.500 0.500
2 Hf 0.000 0.000 0.000
3 Li 0.911 0.911 0.267
4 Li 0.089 0.089 0.733

Values from the calculation:
energy of formation from the pure elements: 0.16 eV/atom
space group: R-3m (166)

Compound: LiHfCd3
Source: Alexandria via LeMat-Bulk
Functional: GGA-PBE
Structure: relaxed

a = 5.613 Å, b = 5.613 Å, c = 5.613 Å
α = 90.00°, β = 90.00°, γ = 90.00°
Site moments in Bohr magnetons follow the coordinates.
Sites, in units of the cell vectors:
1 Cd 0.000 0.000 0.500  0.02
2 Cd 0.500 0.000 0.000  0.06
3 Cd 0.000 0.500 0.000  0.04
4 Li 0.500 0.500 0.500  0.00
5 Hf 0.000 0.000 0.000  0.46

Values from the calculation:
energy of formation from the pure elements: 0.74 eV/atom
space group: Pm-3m (221)

Compound: LiHfCd4
Source: Alexandria via LeMat-Bulk
Functional: GGA-PBE
Structure: relaxed

a = 3.095 Å, b = 5.230 Å, c = 8.262 Å
α = 93.90°, β = 79.20°, γ = 72.79°
Sites, in units of the cell vectors:
1 Hf 0.500 0.500 0.500
2 Li 0.000 0.000 0.000
3 Cd 0.663 0.001 0.673
4 Cd 0.337 0.999 0.327
5 Cd 0.171 0.497 0.161
6 Cd 0.829 0.503 0.839

Values from the calculation:
energy of formation from the pure elements: -0.03 eV/atom
space group: C2/m (12)

Compound: LiHf2Cd
Source: Alexandria via LeMat-Bulk
Functional: GGA-PBE
Structure: relaxed

a = 7.784 Å, b = 7.784 Å, c = 6.145 Å
α = 50.70°, β = 50.70°, γ = 90.00°
Sites, in units of the cell vectors:
1 Li 0.250 0.750 0.500
2 Li 0.500 0.500 0.000
3 Hf 0.875 0.858 0.750
4 Hf 0.375 0.392 0.750
5 Hf 0.142 0.625 0.250
6 Hf 0.608 0.125 0.250
7 Cd 0.750 0.250 0.500
8 Cd 0.000 0.000 0.000

Values from the calculation:
energy of formation from the pure elements: 0.50 eV/atom
space group: I-42d (122)

Compound: Li2HfCd2
Source: Alexandria via LeMat-Bulk
Functional: GGA-PBE
Structure: relaxed

a = 8.058 Å, b = 8.058 Å, c = 2.942 Å
α = 90.00°, β = 90.00°, γ = 90.00°
Sites, in units of the cell vectors:
1 Cd 0.636 0.136 0.000
2 Cd 0.136 0.364 0.000
3 Cd 0.864 0.636 0.000
4 Cd 0.364 0.864 0.000
5 Li 0.664 0.836 0.500
6 Li 0.164 0.664 0.500
7 Li 0.836 0.336 0.500
8 Li 0.336 0.164 0.500
9 Hf 0.500 0.500 0.000
10 Hf 0.000 0.000 0.000

Values from the calculation:
energy of formation from the pure elements: 0.06 eV/atom
space group: P4/mbm (127)

Compound: LiHfCd6
Source: Alexandria via LeMat-Bulk
Functional: GGA-PBE
Structure: relaxed

a = 4.422 Å, b = 4.422 Å, c = 8.593 Å
α = 90.00°, β = 90.00°, γ = 90.00°
Sites, in units of the cell vectors:
1 Cd 0.000 0.500 0.755
2 Cd 0.500 0.500 0.000
3 Cd 0.500 0.500 0.500
4 Cd 0.500 0.000 0.755
5 Cd 0.500 0.000 0.245
6 Cd 0.000 0.500 0.245
7 Hf 0.000 0.000 0.500
8 Li 0.000 0.000 0.000

Values from the calculation:
energy of formation from the pure elements: -0.05 eV/atom
space group: P4/mmm (123)

Compound: Li2HfCd
Source: Alexandria via LeMat-Bulk
Functional: GGA-PBE
Structure: relaxed

a = 7.398 Å, b = 7.398 Å, c = 5.978 Å
α = 51.77°, β = 51.77°, γ = 90.00°
Sites, in units of the cell vectors:
1 Hf 0.000 0.000 0.000
2 Hf 0.750 0.250 0.500
3 Cd 0.250 0.750 0.500
4 Cd 0.500 0.500 0.000
5 Li 0.375 0.402 0.750
6 Li 0.875 0.848 0.750
7 Li 0.152 0.625 0.250
8 Li 0.598 0.125 0.250

Values from the calculation:
energy of formation from the pure elements: 0.44 eV/atom
space group: I-42d (122)

The lowest energy of formation from the pure elements belongs to which entry? LiHfCd6

The highest energy of formation from the pure elements belongs to which entry? LiHfCd3